Computed, not measured: a geometry-optimized BeHgPt3 structure at the PBE-GGA level of DFT.

Properties
* energy relative to the lowest polymorph listed for this composition: 0.175 eV per atom
* D(E_F): 0.49 states/eV/atom
* SG: No. 161
* ρ: 16.6 g cm⁻³
* total moment: 0.000 μB/cell
* E_tot: -4.559 eV/atom
* energy of formation: -12.47 kJ per mole of atoms

The structure in POSCAR format:
```
BeHgPt3
1.0
1.529 -0.265 5.481
5.610 0.879 0.454
0.947 5.262 1.967
Pt Be Hg
6 2 2
Direct
0.201 0.328 0.696 Pt
0.328 0.696 0.201 Pt
0.196 0.828 0.701 Pt
0.696 0.201 0.328 Pt
0.701 0.196 0.828 Pt
0.828 0.701 0.196 Pt
0.531 0.531 0.531 Be
0.031 0.031 0.031 Be
0.226 0.226 0.226 Hg
0.726 0.726 0.726 Hg
```